[1]
TcSbAu, optimized geometry, DFT PBE; N(E_F) = 5.7 states/eV per cell; total magnetization = 0.00 μB per formula unit; SG = No. 12; distance to the lowest polymorph of the same formula = 0.0 meV per atom; formation energy without anion corrections = 0.210 eV/atom; crystal system = monoclinic
1.0
-6.369 -2.108 2.515
-3.400 -3.538 5.221
-9.417 -1.748 9.410
Tc Sb Au
2 2 2
Direct
0.303 0.303 0.973
0.450 0.450 0.334
0.964 0.964 0.956
0.789 0.789 0.351
0.870 0.870 0.766
0.883 0.883 0.541

=====

[2]
ZrAsCl2, optimized geometry, DFT PBE; N(E_F) = 2.9 states/eV per cell; total magnetization = 0.00 μB per formula unit; SG = No. 71; distance to the lowest polymorph of the same formula = 130.1 meV per atom; formation energy without anion corrections = -0.936 eV/atom; crystal system = orthorhombic
1.0
-3.946 6.158 -2.899
-4.429 4.068 -5.073
-4.873 -0.350 1.419
As Zr Cl
1 1 2
Direct
0.250 0.250 0.250
0.750 0.750 0.750
0.106 0.106 0.895
0.394 0.394 0.605

=====

[3]
Ba2LaW, optimized geometry, DFT PBE; N(E_F) = 6.2 states/eV per cell; total magnetization = 1.68 μB per formula unit; SG = No. 139; distance to the lowest polymorph of the same formula = 366.1 meV per atom; crystal system = tetragonal
1.0
6.646 0.001 0.000
3.082 5.888 0.000
-4.864 -2.944 3.441
Ba W La
2 1 1
Direct
0.000 0.000 0.000
0.500 0.500 0.000
0.750 0.250 0.500
0.250 0.750 0.500

=====

[4]
Dy8CoPb2, optimized geometry, DFT PBE; E = -53.77 eV per cell; N(E_F) = 11.9 states/eV per cell; total magnetization = 0.00 μB per formula unit; SG = No. 12; crystal system = monoclinic
1.0
-3.523 2.714 1.646
-2.698 -5.539 3.356
7.421 1.740 6.183
Dy Co Pb
8 1 2
Direct
0.406 0.492 0.813
0.633 0.029 0.265
0.783 0.669 0.567
0.997 0.223 0.993
0.217 0.331 0.433
0.367 0.971 0.735
0.594 0.508 0.187
0.003 0.777 0.007
0.500 0.000 0.000
0.818 0.221 0.636
0.182 0.779 0.364

=====

[5]
NdTlAgPt, optimized geometry, DFT PBE; E = -17.80 eV per cell; N(E_F) = 2.6 states/eV per cell; total magnetization = 0.00 μB per formula unit; SG = No. 216; crystal system = cubic
1.0
5.017 0.000 0.000
2.508 4.345 0.000
2.508 1.448 4.096
Tl Nd Ag Pt
1 1 1 1
Direct
0.500 0.500 0.500
0.000 0.000 0.000
0.250 0.250 0.250
0.750 0.750 0.750

=====

[6]
Rb3Tm2InO6, optimized geometry, DFT PBE; N(E_F) = 0.0 states/eV per cell; total magnetization = 0.00 μB per formula unit; SG = No. 12; formation energy without anion corrections = -2.306 eV/atom; crystal system = monoclinic
1.0
-0.192 5.623 -1.919
-3.922 -3.973 -2.043
-2.710 0.974 6.190
Rb Tm In O
3 2 1 6
Direct
0.165 0.835 0.500
0.835 0.165 0.500
0.500 0.500 0.500
0.333 0.667 0.000
0.667 0.333 0.000
0.000 0.000 0.000
0.942 0.607 0.825
0.724 0.724 0.175
0.058 0.393 0.175
0.607 0.942 0.825
0.276 0.276 0.825
0.393 0.058 0.175

=====

[7]
RbCd4AgAu2, optimized geometry, DFT PBE; E = -14.88 eV per cell; N(E_F) = 2.9 states/eV per cell; total magnetization = 0.00 μB per formula unit; SG = No. 166; crystal system = trigonal
1.0
4.743 0.000 0.000
2.371 4.107 0.000
2.371 1.369 10.757
Rb Cd Ag Au
1 4 1 2
Direct
0.000 0.000 0.000
0.411 0.411 0.767
0.865 0.865 0.406
0.135 0.135 0.594
0.589 0.589 0.233
0.500 0.500 0.500
0.767 0.767 0.698
0.233 0.233 0.302

=====

[8]
YFe2SiHg, optimized geometry, DFT PBE; N(E_F) = 5.8 states/eV per cell; total magnetization = 4.86 μB per formula unit; SG = No. 123; formation energy without anion corrections = 1.565 eV/atom; crystal system = tetragonal
1.0
-3.511 0.105 -3.349
0.393 -5.290 -0.578
-3.332 -0.627 3.473
Y Si Hg Fe
1 1 1 2
Direct
0.000 0.000 0.000
0.000 0.500 0.000
0.500 0.500 0.500
0.000 0.000 0.500
0.500 0.000 0.000

=====

[9]
VIn3Tc, optimized geometry, DFT PBE; N(E_F) = 8.2 states/eV per cell; total magnetization = 3.73 μB per formula unit; SG = No. 221; distance to the lowest polymorph of the same formula = 0.0 meV per atom; crystal system = cubic
1.0
5.139 0.000 0.000
0.000 5.139 0.000
0.000 0.000 5.139
In Tc V
3 1 1
Direct
0.000 0.500 0.000
0.000 0.000 0.500
0.500 0.000 0.000
0.000 0.000 0.000
0.500 0.500 0.500

=====

[10]
CaP2Ru3, optimized geometry, DFT PBE; E = -132.68 eV per cell; N(E_F) = 16.6 states/eV per cell; total magnetization = 0.00 μB per formula unit; SG = No. 12; crystal system = monoclinic
1.0
3.930 0.000 0.000
-1.965 7.448 -2.381
0.000 0.106 9.575
Ca P Ru
3 6 9
Direct
0.160 0.321 0.700
0.840 0.679 0.300
0.000 0.000 0.000
0.194 0.389 0.131
0.806 0.611 0.869
0.461 0.923 0.215
0.539 0.077 0.785
0.357 0.714 0.547
0.643 0.286 0.453
0.036 0.072 0.333
0.964 0.928 0.667
0.213 0.427 0.392
0.787 0.573 0.608
0.620 0.240 0.203
0.380 0.760 0.797
0.500 0.000 0.500
0.320 0.639 0.034
0.680 0.361 0.966

=====

[11]
Pr2TlZn2Rh5, optimized geometry, DFT PBE; E = -111.68 eV per cell; N(E_F) = 12.6 states/eV per cell; total magnetization = 0.00 μB per formula unit; SG = No. 127; crystal system = tetragonal
1.0
-2.031 1.559 2.766
3.711 -6.507 6.394
7.420 6.169 1.971
Pr Tl Zn Rh
4 2 4 10
Direct
0.000 0.677 0.177
0.000 0.323 0.823
0.000 0.177 0.323
0.000 0.823 0.677
0.000 0.000 0.000
0.000 0.500 0.500
0.000 0.120 0.620
0.000 0.880 0.380
0.000 0.620 0.880
0.000 0.380 0.120
0.500 0.211 0.067
0.500 0.789 0.933
0.500 0.067 0.789
0.500 0.711 0.433
0.500 0.933 0.211
0.500 0.289 0.567
0.500 0.567 0.711
0.500 0.433 0.289
0.500 0.500 0.000
0.500 0.000 0.500

=====

[12]
NaReC2, optimized geometry, DFT PBE; N(E_F) = 0.6 states/eV per cell; total magnetization = 0.00 μB per formula unit; SG = No. 122; distance to the lowest polymorph of the same formula = 0.0 meV per atom; crystal system = tetragonal
1.0
5.424 0.000 0.000
0.000 5.424 0.000
2.712 2.712 4.652
Re C Na
2 4 2
Direct
0.000 0.000 0.000
0.750 0.250 0.500
0.751 0.125 0.250
0.999 0.625 0.250
0.375 0.249 0.750
0.875 0.001 0.750
0.500 0.500 0.000
0.250 0.750 0.500

=====

[13]
VCu3Au12, optimized geometry, DFT PBE; E = -60.52 eV per cell; N(E_F) = 9.1 states/eV per cell; total magnetization = 3.19 μB per formula unit; SG = No. 123; crystal system = tetragonal
1.0
4.111 0.000 0.000
0.000 4.111 0.000
0.000 0.000 16.042
V Cu Au
1 3 12
Direct
0.000 0.000 0.000
0.000 0.000 0.254
0.000 0.000 0.500
0.000 0.000 0.746
0.500 0.500 0.000
0.500 0.500 0.252
0.500 0.500 0.500
0.500 0.500 0.748
0.500 0.000 0.128
0.500 0.000 0.376
0.500 0.000 0.624
0.500 0.000 0.872
0.000 0.500 0.128
0.000 0.500 0.376
0.000 0.500 0.624
0.000 0.500 0.872

=====

[14]
CuRhAu2, optimized geometry, DFT PBE; N(E_F) = 3.5 states/eV per cell; total magnetization = 0.23 μB per formula unit; SG = No. 25; distance to the lowest polymorph of the same formula = 37.7 meV per atom; crystal system = orthorhombic
1.0
-2.631 -0.512 -0.947
0.834 -3.450 -0.453
-1.854 -1.210 5.806
Au Cu Rh
2 1 1
Direct
0.000 0.000 0.985
0.500 0.500 0.273
0.000 0.000 0.516
0.500 0.500 0.726

=====

[15]
Cs2SrH6Rh, optimized geometry, DFT PBE; E = -34.16 eV per cell; N(E_F) = 2.7 states/eV per cell; total magnetization = 0.71 μB per formula unit; SG = No. 164; crystal system = trigonal
1.0
6.204 0.000 0.000
0.000 6.562 0.000
0.000 -3.281 5.683
Cs Sr H Rh
2 1 6 1
Direct
0.125 0.333 0.667
0.875 0.667 0.333
0.500 0.000 0.000
0.841 0.121 0.242
0.841 0.121 0.879
0.841 0.758 0.879
0.159 0.879 0.121
0.159 0.242 0.121
0.159 0.879 0.758
0.000 0.000 0.000

=====

[16]
LiH4Ru, optimized geometry, DFT PBE; N(E_F) = 2.3 states/eV per cell; total magnetization = 0.00 μB per formula unit; SG = No. 15; distance to the lowest polymorph of the same formula = 109.0 meV per atom; crystal system = monoclinic
1.0
-3.748 -1.363 -2.626
1.556 -4.729 -0.316
-1.373 1.960 5.560
Li H Ru
2 8 2
Direct
0.411 0.661 0.322
0.589 0.339 0.678
0.943 0.153 0.863
0.754 0.676 0.662
0.421 0.711 0.863
0.408 0.986 0.662
0.592 0.014 0.338
0.579 0.289 0.137
0.246 0.324 0.338
0.057 0.847 0.137
0.295 0.045 0.091
0.705 0.955 0.909

=====

[17]
Ca2YW, optimized geometry, DFT PBE; N(E_F) = 5.3 states/eV per cell; total magnetization = 3.02 μB per formula unit; SG = No. 216; distance to the lowest polymorph of the same formula = 173.5 meV per atom; crystal system = cubic
1.0
5.377 0.000 0.000
2.688 4.656 0.000
2.688 1.552 4.390
Y Ca W
1 2 1
Direct
0.750 0.750 0.750
0.000 0.000 0.000
0.250 0.250 0.250
0.500 0.500 0.500

=====

[18]
Mn3InPt12, optimized geometry, DFT PBE; E = -108.55 eV per cell; N(E_F) = 15.4 states/eV per cell; total magnetization = 12.94 μB per formula unit; SG = No. 123; crystal system = tetragonal
1.0
-0.204 -0.430 3.931
3.504 -1.845 -0.020
7.337 13.910 1.903
Mn In Pt
3 1 12
Direct
0.000 0.000 0.253
0.000 0.000 0.500
0.000 0.000 0.747
0.000 0.000 0.000
0.500 0.500 0.000
0.500 0.500 0.254
0.500 0.500 0.500
0.500 0.500 0.746
0.500 0.000 0.132
0.500 0.000 0.377
0.500 0.000 0.623
0.500 0.000 0.868
0.000 0.500 0.132
0.000 0.500 0.377
0.000 0.500 0.623
0.000 0.500 0.868

=====

[19]
CdPbBr2, optimized geometry, DFT PBE; N(E_F) = 1.2 states/eV per cell; total magnetization = 0.00 μB per formula unit; SG = No. 47; distance to the lowest polymorph of the same formula = 193.7 meV per atom; formation energy without anion corrections = -0.344 eV/atom; crystal system = orthorhombic
1.0
4.077 0.000 0.000
0.000 6.209 0.000
0.000 0.000 4.710
Pb Br Cd
1 2 1
Direct
0.000 0.500 0.500
0.000 0.000 0.000
0.500 0.500 0.000
0.500 0.000 0.500

=====

[20]
CaCd2, optimized geometry, DFT PBE; E = -9.35 eV per cell; N(E_F) = 3.1 states/eV per cell; total magnetization = 0.00 μB per formula unit; SG = No. 63; crystal system = orthorhombic
1.0
7.525 0.077 0.000
-6.393 3.971 0.000
0.000 0.000 5.156
Ca Cd
2 4
Direct
0.646 0.354 0.000
0.465 0.535 0.500
0.966 0.034 0.000
0.317 0.683 0.000
0.794 0.206 0.500
0.145 0.855 0.500

=====

[21]
Er4Hg2N, optimized geometry, DFT PBE; N(E_F) = 15.7 states/eV per cell; total magnetization = 0.40 μB per formula unit; SG = No. 55; distance to the lowest polymorph of the same formula = 120.8 meV per atom; formation energy without anion corrections = -0.620 eV/atom; crystal system = orthorhombic
1.0
3.555 0.000 0.000
0.000 7.856 0.000
0.000 0.000 12.145
Er Hg N
8 4 2
Direct
0.000 0.621 0.816
0.000 0.379 0.184
0.000 0.121 0.684
0.000 0.879 0.316
0.500 0.808 0.554
0.500 0.192 0.446
0.500 0.692 0.054
0.500 0.308 0.946
0.500 0.935 0.852
0.500 0.065 0.148
0.500 0.435 0.648
0.500 0.565 0.352
0.000 0.000 0.500
0.000 0.500 0.000

=====

[22]
SrYF4, optimized geometry, DFT PBE; N(E_F) = 4.2 states/eV per cell; total magnetization = 0.70 μB per formula unit; SG = No. 109; formation energy without anion corrections = -3.546 eV/atom; crystal system = tetragonal
1.0
6.605 0.466 0.000
-2.241 6.231 0.000
-2.182 -3.349 5.279
Sr Y F
2 2 8
Direct
0.255 0.255 0.000
0.005 0.505 0.500
0.742 0.742 0.000
0.492 0.992 0.500
0.258 0.938 0.679
0.743 0.435 0.691
0.688 0.508 0.179
0.185 0.993 0.191
0.329 0.508 0.821
0.802 0.993 0.809
0.743 0.052 0.309
0.258 0.579 0.321